Entry 1:
! PBE Tb2PuSe3, optimized geometry; values from VASP
! Calculated density   9.0 g/cm³
! ΔE_f (raw)   -1.720 eV/atom
&SYSTEM
  ibrav = 0, nat = 6, ntyp = 3
/
ATOMIC_SPECIES
Tb 158.93 Tb.upf
Pu 244.00 Pu.upf
Se 78.96 Se.upf
CELL_PARAMETERS angstrom
-2.051 2.903 6.182
2.051 -2.903 6.182
2.051 2.903 -6.182
ATOMIC_POSITIONS crystal
Tb 0.167 0.167 0.000
Tb 0.833 0.833 0.000
Pu 0.500 0.500 0.000
Se 0.000 0.500 0.500
Se 0.332 0.832 0.500
Se 0.668 0.168 0.500



Entry 2:
! PBE Nd4Dy2HoTh, optimized geometry; values from VASP
! DFT formation energy   0.763 kcal/mol of atoms
! Calculated density   8.1 g/cm³
&SYSTEM
  ibrav = 0, nat = 8, ntyp = 4
/
ATOMIC_SPECIES
Nd 144.24 Nd.upf
Dy 162.50 Dy.upf
Ho 164.93 Ho.upf
Th 232.04 Th.upf
CELL_PARAMETERS angstrom
5.109 0.000 0.000
0.000 5.109 0.000
0.000 0.000 10.236
ATOMIC_POSITIONS crystal
Nd 0.000 0.500 0.249
Nd 0.000 0.500 0.751
Nd 0.500 0.000 0.249
Nd 0.500 0.000 0.751
Dy 0.000 0.000 0.000
Dy 0.500 0.500 0.500
Ho 0.000 0.000 0.500
Th 0.500 0.500 0.000